[1]
The following is a GGA-PBE calculation of crystalline Pm2ZnCu3 at its relaxed geometry, from the Alexandria database.

Cell: 8.665 8.334 5.722 Å, 73.49 67.23 39.28°
Sites, in units of the cell vectors:
Pm: 0.245 0.755 0.755
Pm: 0.250 0.250 0.250
Pm: 0.750 0.750 0.750
Pm: 0.755 0.245 0.245
Zn: 0.333 0.333 0.667
Zn: 0.667 0.667 0.333
Cu: 0.166 0.166 0.834
Cu: 0.166 0.667 0.333
Cu: 0.333 0.834 0.166
Cu: 0.667 0.166 0.834
Cu: 0.834 0.333 0.667
Cu: 0.834 0.834 0.166

Values from the calculation:
Formation energy from the elements in eV per formula unit: -1.5

---

[2]
The following is a GGA-PBE calculation of crystalline Pm4Dy5Y at its relaxed geometry, from the Alexandria database.

Cell: 8.113 8.113 8.113 Å, 97.78 97.78 136.83°
Sites, in units of the cell vectors:
Pm: 0.000 0.324 0.324
Pm: 0.000 0.676 0.676
Pm: 0.324 0.000 0.324
Pm: 0.676 0.000 0.676
Dy: 0.239 0.239 0.000
Dy: 0.307 0.307 0.622
Dy: 0.307 0.686 0.000
Dy: 0.686 0.307 0.000
Dy: 0.686 0.686 0.378
Y: 0.765 0.765 0.000

Values from the calculation:
Formation energy from the elements in eV per formula unit: 2.5
Energy relative to the lowest polymorph listed for this composition in meV per atom: 234.0

---

[3]
The following is a GGA-PBE calculation of crystalline NaSr2RuO6 at its relaxed geometry, from the Alexandria database.

Cell: 5.718 5.970 9.936 Å, 90.00 125.01 90.00°
Sites, in units of the cell vectors:
Na: 0.000 0.000 0.000
Na: 0.000 0.500 0.500
Sr: 0.235 0.059 0.748
Sr: 0.235 0.441 0.248
Sr: 0.765 0.559 0.752
Sr: 0.765 0.941 0.252
Ru: 0.500 0.000 0.500
Ru: 0.500 0.500 0.000
O: 0.186 0.178 0.459
O: 0.186 0.322 0.959
O: 0.278 0.732 0.450
O: 0.278 0.768 0.950
O: 0.360 0.029 0.274
O: 0.360 0.471 0.774
O: 0.640 0.529 0.226
O: 0.640 0.971 0.726
O: 0.722 0.232 0.050
O: 0.722 0.268 0.550
O: 0.814 0.678 0.041
O: 0.814 0.822 0.541

---

[4]
The following is a GGA-PBE calculation of crystalline NaNi2Os2 at its relaxed geometry, from the Alexandria database.

Cell: 7.626 7.626 2.530 Å, 90.00 90.00 90.00°
Sites, in units of the cell vectors:
Na: 0.000 0.000 0.000
Na: 0.500 0.500 0.000
Ni: 0.177 0.323 0.500
Ni: 0.323 0.823 0.500
Ni: 0.677 0.177 0.500
Ni: 0.823 0.677 0.500
Os: 0.119 0.619 0.000
Os: 0.381 0.119 0.000
Os: 0.619 0.881 0.000
Os: 0.881 0.381 0.000

Values from the calculation:
Formation energy from the elements in eV per formula unit: 2.0
Energy relative to the lowest polymorph listed for this composition in meV per atom: 0.0

---

[5]
The following is a GGA-PBE calculation of crystalline BeSnAu3 at its relaxed geometry, from the Alexandria database.

Cell: 4.588 4.588 4.588 Å, 90.00 90.00 90.00°
Sites, in units of the cell vectors:
Be: 0.000 0.000 0.000
Sn: 0.500 0.500 0.500
Au: 0.000 0.000 0.500
Au: 0.000 0.500 0.000
Au: 0.500 0.000 0.000

Values from the calculation:
Formation energy from the elements in eV per formula unit: 0.2
Energy relative to the lowest polymorph listed for this composition in meV per atom: 111.7

---

[6]
The following is a GGA-PBE calculation of crystalline TiAlAg at its relaxed geometry, from the Alexandria database.

Cell: 7.606 7.606 4.619 Å, 90.00 90.00 158.02°
Sites, in units of the cell vectors:
Ti: 0.047 0.953 0.750
Ti: 0.953 0.047 0.250
Al: 0.386 0.614 0.750
Al: 0.614 0.386 0.250
Ag: 0.284 0.716 0.250
Ag: 0.716 0.284 0.750

Values from the calculation:
Formation energy from the elements in eV per formula unit: -0.6

---

[7]
The following is a GGA-PBE calculation of crystalline NdTlCu2O5 at its relaxed geometry, from the Alexandria database.

Cell: 3.836 3.836 8.058 Å, 90.00 90.00 90.00°
Sites, in units of the cell vectors:
Nd: 0.000 0.000 0.000
Tl: 0.000 0.000 0.500
Cu: 0.500 0.500 0.243
Cu: 0.500 0.500 0.757
O: 0.000 0.500 0.188
O: 0.000 0.500 0.812
O: 0.500 0.000 0.188
O: 0.500 0.000 0.812
O: 0.500 0.500 0.500

---

[8]
The following is a GGA-PBE calculation of crystalline TmIn2F8 at its relaxed geometry, from the Alexandria database.

Cell: 6.217 6.217 4.537 Å, 100.06 100.06 73.92°
Sites, in units of the cell vectors:
Tm: 0.000 0.000 0.000
In: 0.356 0.356 0.692
In: 0.644 0.644 0.308
F: 0.084 0.658 0.765
F: 0.144 0.144 0.713
F: 0.342 0.916 0.235
F: 0.405 0.405 0.225
F: 0.595 0.595 0.775
F: 0.658 0.084 0.765
F: 0.856 0.856 0.287
F: 0.916 0.342 0.235

---

Number 1: electronic total energy -0.3008 Ry/atom, magnetization 0.0 Bohr magnetons per cell. Number 2: electronic total energy -0.3380 Ry/atom, magnetization 0.0 Bohr magnetons per cell. Number 3: electronic total energy -0.4538 Ry/atom, magnetization 2.0 Bohr magnetons per cell. Number 4: electronic total energy -0.4906 Ry/atom, magnetization 0.0 Bohr magnetons per cell. Number 5: electronic total energy -0.2548 Ry/atom, magnetization 0.0 Bohr magnetons per cell. Number 6: electronic total energy -0.3699 Ry/atom, magnetization 0.0 Bohr magnetons per cell. Number 7: electronic total energy -0.4169 Ry/atom, magnetization 0.8 Bohr magnetons per cell. Number 8: electronic total energy -0.3815 Ry/atom, magnetization 0.0 Bohr magnetons per cell.